Here is crystalline Nb2Ru3Pt2 at its relaxed geometry from Alexandria via LeMat-Bulk. Energies are from GGA-PBE.

```
Nb2Ru3Pt2
1.0
-1.4072 2.2799 8.6578
1.4072 -2.2799 8.6578
1.4072 2.2799 -8.6578
Nb Ru Pt
2 3 2
Cartesian
0.0000 0.0000 2.3571
0.0000 0.0000 14.9585
1.4072 0.0000 0.0000
1.4072 0.0000 4.7060
0.0000 2.2799 3.9518
0.0000 0.0000 7.2048
0.0000 0.0000 10.1108
```

Results
**Energy above the most stable polymorph in this dataset**: 142 meV per atom
**E_form**: -0.113 eV per atom